Computed, not measured: a relaxed Sm6Te3As2Cl crystal at the GGA-PBE level of DFT.

Results
SG ... C2/m, No. 12

Cell: 4.276 8.692 9.694 Å, 104.19 102.74 90.00°
Fractional coordinates of all 12 atoms:
1 Te 0.164 0.833 0.328
2 Sm 0.010 0.241 0.020
3 Sm 0.674 0.566 0.349
4 Sm 0.990 0.759 0.980
5 As 0.167 0.333 0.333
6 Sm 0.666 0.108 0.332
7 Te 0.836 0.167 0.672
8 Cl 0.500 0.000 0.000
9 Te 0.500 0.500 0.000
10 As 0.833 0.667 0.667
11 Sm 0.334 0.892 0.668
12 Sm 0.326 0.434 0.651

Computed, not measured: a relaxed NaAl3Ru crystal at the GGA-PBE level of DFT.

Results
ΔE_f ... -192 meV/atom
Offset from the most stable computed form ... 0.000 eV/atom
SG ... Pm-3m, No. 221

Cell: 4.764 4.764 4.764 Å, 90.00 90.00 90.00°
Fractional coordinates of all 5 atoms:
1 Na 0.500 0.500 0.500
2 Al 0.500 0.000 0.000
3 Al 0.000 0.500 0.000
4 Ru 0.000 0.000 0.000
5 Al 0.000 0.000 0.500

Computed, not measured: a relaxed Ba3LaMg4 crystal at the GGA-PBE level of DFT.

Results
ΔE_f ... -60 meV/atom
SG ... P4/mmm, No. 123

Cell: 4.218 4.218 17.342 Å, 90.00 90.00 90.00°
Fractional coordinates of all 8 atoms:
1 Mg 0.000 0.000 0.898
2 Ba 0.500 0.500 0.237
3 La 0.500 0.500 0.000
4 Ba 0.500 0.500 0.763
5 Ba 0.500 0.500 0.500
6 Mg 0.000 0.000 0.370
7 Mg 0.000 0.000 0.630
8 Mg 0.000 0.000 0.102

Computed, not measured: a relaxed Cs2Rb6AuF crystal at the GGA-PBE level of DFT.

Results
SG ... Cm, No. 8

Cell: 9.664 9.665 11.654 Å, 126.35 126.35 73.19°
Fractional coordinates of all 10 atoms:
1 Rb 0.269 0.269 0.461
2 Rb 0.268 0.268 0.071
3 Rb 0.791 0.180 0.989
4 Rb 0.180 0.792 0.989
5 Cs 0.274 0.864 0.567
6 Rb 0.677 0.677 0.981
7 Au 0.365 0.365 0.863
8 Cs 0.863 0.275 0.568
9 Rb 0.683 0.684 0.379
10 F 0.129 0.129 0.130

Number 1: uncorrected energy -66.43 eV for the cell shown. Number 2: uncorrected energy -22.78 eV for the cell shown. Number 3: uncorrected energy -17.55 eV for the cell shown. Number 4: uncorrected energy -18.23 eV for the cell shown.